[1]
Here is a relaxed structure of YIn4Cu2 from Alexandria via LeMat-Bulk. Energies are from PBE.

Geometry as extended XYZ:
```
28
Lattice="18.118 0.000 0.000 0.000 4.483 0.000 0.000 0.000 7.330" Properties=species:S:1:pos:R:3 pbc="T T T"
Y 2.606 1.121 0.264
Y 6.453 3.362 3.929
Y 11.665 1.121 3.401
Y 15.512 3.362 7.067
In 0.563 3.362 6.346
In 1.226 1.121 3.628
In 3.354 3.362 2.453
In 3.458 3.362 5.456
In 5.601 1.121 1.791
In 5.705 1.121 6.118
In 7.833 3.362 7.293
In 8.496 1.121 2.681
In 9.622 3.362 4.650
In 10.285 1.121 0.038
In 12.413 3.362 1.212
In 12.517 3.362 5.539
In 14.660 1.121 1.874
In 14.764 1.121 4.877
In 16.892 3.362 3.703
In 17.555 1.121 0.984
Cu 0.744 3.362 1.798
Cu 3.973 1.121 3.982
Cu 5.086 3.362 0.317
Cu 8.315 1.121 5.464
Cu 9.803 3.362 1.867
Cu 13.032 1.121 7.014
Cu 14.145 3.362 3.349
Cu 17.374 1.121 5.532
```

formation energy from the elements	-0.2061	eV per atom
size of the total moment	0.000	μB/atom

---

[2]
Here is a relaxed structure of Y4InCu from Alexandria via LeMat-Bulk. Energies are from PBE.

Geometry as extended XYZ:
```
6
Lattice="0.000 4.423 4.423 4.423 0.000 4.423 4.423 4.423 0.000" Properties=species:S:1:pos:R:3 pbc="T T T"
Y 3.322 3.322 3.322
Y 5.523 5.523 3.322
Y 5.523 3.322 5.523
Y 3.322 5.523 5.523
In 6.634 6.634 6.634
Cu 0.000 0.000 0.000
```

formation energy from the elements	0.4521	eV per atom
size of the total moment	0.000	μB/atom
excess energy over the best structure of this formula in the dataset	66.70	kJ per mole of atoms

---

[3]
Here is a relaxed structure of Y3In2Cu from Alexandria via LeMat-Bulk. Energies are from PBE.

Geometry as extended XYZ:
```
24
Lattice="12.193 0.000 0.000 0.000 4.603 0.000 0.000 0.000 11.199" Properties=species:S:1:pos:R:3 pbc="T T T"
Y 0.603 1.151 1.508
Y 1.631 3.452 6.420
Y 2.720 1.151 9.044
Y 3.376 3.452 3.444
Y 4.466 1.151 0.820
Y 5.494 3.452 7.108
Y 6.699 1.151 4.092
Y 7.727 3.452 10.379
Y 8.817 1.151 7.755
Y 9.473 3.452 2.155
Y 10.562 1.151 4.779
Y 11.591 3.452 9.691
In 0.144 3.452 3.632
In 2.257 3.452 0.135
In 3.839 1.151 5.735
In 5.952 1.151 9.231
In 6.241 3.452 1.968
In 8.354 3.452 5.465
In 9.936 1.151 11.064
In 12.049 1.151 7.568
Cu 1.457 1.151 4.398
Cu 4.640 3.452 9.998
Cu 7.553 1.151 1.202
Cu 10.736 3.452 6.801
```

formation energy from the elements	-0.3787	eV per atom
size of the total moment	0.000	μB/atom

---

[4]
Here is a relaxed structure of Y4In3Cu from Alexandria via LeMat-Bulk. Energies are from PBE.

Geometry as extended XYZ:
```
8
Lattice="3.540 0.000 0.000 0.000 3.540 0.000 0.000 0.000 16.191" Properties=species:S:1:pos:R:3 pbc="T T T"
Y 0.000 0.000 1.716
Y 0.000 0.000 5.966
Y 0.000 0.000 10.225
Y 0.000 0.000 14.476
In 1.770 1.770 3.830
In 1.770 1.770 8.096
In 1.770 1.770 12.361
Cu 1.770 1.770 0.000
```

formation energy from the elements	-0.4403	eV per atom
size of the total moment	0.000	μB/atom

---

[5]
Here is a relaxed structure of Y4In5Cu2 from Alexandria via LeMat-Bulk. Energies are from PBE.

Geometry as extended XYZ:
```
11
Lattice="7.673 0.000 0.000 0.000 3.687 0.000 -0.732 0.000 9.483" Properties=species:S:1:pos:R:3 pbc="T T T"
Y 1.179 0.000 3.369
Y 1.037 0.000 8.862
Y 5.904 0.000 0.621
Y 5.762 0.000 6.114
In 0.761 1.844 6.140
In 3.338 1.844 1.637
In 3.470 1.844 4.741
In 3.602 1.844 7.846
In 6.180 1.844 3.343
Cu 0.432 1.844 1.216
Cu 6.508 1.844 8.267
```

formation energy from the elements	-0.4019	eV per atom
size of the total moment	0.000	μB/atom

---

[6]
Here is a relaxed structure of YIn2Cu6 from Alexandria via LeMat-Bulk. Energies are from PBE.

Geometry as extended XYZ:
```
9
Lattice="-1.790 3.446 6.329 1.790 -3.446 6.329 1.790 3.446 -6.329" Properties=species:S:1:pos:R:3 pbc="T T T"
Y 0.000 0.000 0.000
In 1.790 0.000 4.578
In 0.000 3.446 1.751
Cu 1.790 1.268 -2.249
Cu 1.790 2.232 0.000
Cu 1.790 1.268 2.249
Cu 0.000 2.179 4.080
Cu 0.000 1.214 6.329
Cu 0.000 2.179 8.578
```

formation energy from the elements	-0.0099	eV per atom
size of the total moment	0.000	μB/atom